No. 1
Computed, not measured: a relaxed structure of SmCoB4 at the PBE-GGA level of DFT.

Cell lengths 4.8512, 4.8512, 4.8512 Å; angles 142.17, 113.29, 79.33 degrees
Each line ends with the local moment (μB).
Fractional coordinates of all 6 atoms:
B 0.5875 0.2530 0.3346  0.01
B 0.0816 0.7470 0.3346  0.01
B 0.9184 0.2530 0.6654  0.01
B 0.4125 0.7470 0.6654  0.01
Co 0.0000 0.0000 0.0000  1.14
Sm 0.5000 0.5000 0.0000  -0.02

Energy: -38.5 eV per cell
Total magnetic moment: 1.023 μB per formula unit

No. 2
Computed, not measured: a relaxed structure of RbZrPO at the PBE-GGA level of DFT.

Cell lengths 4.6684, 4.6684, 10.6095 Å; angles 90.00, 90.00, 90.00 degrees
Each line ends with the local moment (μB).
Fractional coordinates of all 8 atoms:
O 0.0000 0.0000 0.0000  0.86
O 0.5000 0.5000 0.0000  0.86
P 0.0000 0.5000 0.3973  0.00
P 0.5000 0.0000 0.6027  0.00
Rb 0.5000 0.0000 0.1258  0.01
Rb 0.0000 0.5000 0.8742  0.01
Zr 0.0000 0.0000 0.5000  0.00
Zr 0.5000 0.5000 0.5000  0.00

Energy: -43.8 eV per cell
Total magnetic moment: 1.093 μB per formula unit

No. 3
Computed, not measured: a relaxed structure of Dy3Er2S7 at the PBE-GGA level of DFT.

Cell lengths 6.6905, 6.6905, 11.5631 Å; angles 103.99, 103.99, 32.88 degrees
Fractional coordinates of all 12 atoms:
Dy 0.0000 0.0000 0.0000
Dy 0.1121 0.1121 0.4209
Dy 0.8879 0.8879 0.5791
Er 0.3001 0.3001 0.1867
Er 0.6999 0.6999 0.8133
S 0.6605 0.6605 0.0515
S 0.9570 0.9570 0.2149
S 0.7414 0.7414 0.3509
S 0.5000 0.5000 0.5000
S 0.2586 0.2586 0.6491
S 0.0430 0.0430 0.7851
S 0.3395 0.3395 0.9485

Energy: -76.6 eV per cell
Total magnetic moment: 0.002 μB per formula unit

No. 4
Computed, not measured: a relaxed structure of YMgTlFe at the PBE-GGA level of DFT.

Cell lengths 4.9398, 4.9398, 4.9398 Å; angles 60.00, 60.00, 60.00 degrees
Fractional coordinates of all 4 atoms:
Fe 0.7500 0.7500 0.7500
Mg 0.5000 0.5000 0.5000
Tl 0.0000 0.0000 0.0000
Y 0.2500 0.2500 0.2500

Energy: -18.1 eV per cell
Total magnetic moment: 2.416 μB per formula unit

No. 5
Computed, not measured: a relaxed structure of HoErNb at the PBE-GGA level of DFT.

Cell lengths 5.0311, 5.0311, 5.0311 Å; angles 60.00, 60.00, 60.00 degrees
Each line ends with the local moment (μB).
Fractional coordinates of all 3 atoms:
Er 0.0000 0.0000 0.0000  0.21
Ho 0.5000 0.5000 0.5000  0.20
Nb 0.7500 0.7500 0.7500  1.46

Formation enthalpy at 0 K: 0.7905 eV/atom
Energy: -16.9 eV per cell
Total magnetic moment: 2.065 μB per formula unit

No. 6
Computed, not measured: a relaxed structure of Tm6TlCo2 at the PBE-GGA level of DFT.

Cell lengths 8.2622, 8.2622, 8.2622 Å; angles 111.46, 110.08, 106.90 degrees
Fractional coordinates of all 18 atoms:
Co 0.3790 0.0000 0.3790
Co 0.8866 0.3866 0.5000
Co 0.1134 0.6134 0.5000
Co 0.6210 0.0000 0.6210
Tl 0.0000 0.0000 0.0000
Tl 0.5000 0.5000 0.0000
Tm 0.8125 0.2889 0.1014
Tm 0.4454 0.2313 0.2141
Tm 0.9827 0.7687 0.2141
Tm 0.3156 0.6183 0.3027
Tm 0.6844 0.9871 0.3027
Tm 0.1875 0.2889 0.4764
Tm 0.8125 0.7111 0.5236
Tm 0.3156 0.0129 0.6973
Tm 0.6844 0.3817 0.6973
Tm 0.0173 0.2313 0.7859
Tm 0.5546 0.7687 0.7859
Tm 0.1875 0.7111 0.8986

Energy: -91.7 eV per cell
Total magnetic moment: 0.001 μB per formula unit

No. 7
Computed, not measured: a relaxed structure of ErScPbC at the PBE-GGA level of DFT.

Cell lengths 3.5023, 3.5023, 15.5495 Å; angles 90.00, 90.00, 120.00 degrees
Fractional coordinates of all 8 atoms:
C 0.0000 0.0000 0.2596
C 0.0000 0.0000 0.7404
Er 0.3333 0.6667 0.1744
Er 0.3333 0.6667 0.8256
Pb 0.6667 0.3333 0.0000
Pb 0.3333 0.6667 0.5000
Sc 0.6667 0.3333 0.3356
Sc 0.6667 0.3333 0.6644

Energy: -52.0 eV per cell
Total magnetic moment: 0.006 μB per formula unit

No. 8
Computed, not measured: a relaxed structure of KPrPO at the PBE-GGA level of DFT.

Cell lengths 3.6229, 7.8971, 7.6979 Å; angles 90.00, 90.00, 90.00 degrees
Fractional coordinates of all 8 atoms:
K 0.5000 0.4534 0.0962
K 0.5000 0.5466 0.5962
O 0.5000 0.2651 0.3748
O 0.5000 0.7349 0.8748
P 0.0000 0.7835 0.3253
P 0.0000 0.2165 0.8253
Pr 0.0000 0.1277 0.4578
Pr 0.0000 0.8723 0.9578

Energy: -43.5 eV per cell
Total magnetic moment: 0.000 μB per formula unit

No. 9
Computed, not measured: a relaxed structure of KPrSm at the PBE-GGA level of DFT.

Cell lengths 5.9328, 5.9328, 5.9328 Å; angles 60.00, 60.00, 60.00 degrees
Fractional coordinates of all 3 atoms:
K 0.2500 0.2500 0.2500
Pr 0.7500 0.7500 0.7500
Sm 0.0000 0.0000 0.0000

Energy: -7.3 eV per cell
Total magnetic moment: 1.725 μB per formula unit

No. 10
Computed, not measured: a relaxed structure of ScCu2Ir at the PBE-GGA level of DFT.

Cell lengths 4.4237, 5.3265, 4.8975 Å; angles 90.00, 90.00, 90.00 degrees
Fractional coordinates of all 8 atoms:
Cu 0.0000 0.2507 0.1500
Cu 0.0000 0.7493 0.1500
Cu 0.5000 0.2493 0.8500
Cu 0.5000 0.7507 0.8500
Ir 0.5000 0.0000 0.3123
Ir 0.0000 0.5000 0.6877
Sc 0.5000 0.5000 0.3591
Sc 0.0000 0.0000 0.6409

Formation enthalpy at 0 K: -0.4112 eV/atom
Energy: -48.5 eV per cell
Total magnetic moment: 0.001 μB per formula unit

No. 11
Computed, not measured: a relaxed structure of ZrAl2Pb at the PBE-GGA level of DFT.

Cell lengths 4.9832, 4.9832, 4.9832 Å; angles 60.00, 60.00, 60.00 degrees
Each line ends with the local moment (μB).
Fractional coordinates of all 4 atoms:
Al 0.0000 0.0000 0.0000  0.01
Al 0.7500 0.7500 0.7500  0.01
Pb 0.5000 0.5000 0.5000  0.02
Zr 0.2500 0.2500 0.2500  0.51

Energy: -18.5 eV per cell
Total magnetic moment: 0.907 μB per formula unit

No. 12
Computed, not measured: a relaxed structure of CuAg6 at the PBE-GGA level of DFT.

Cell lengths 16.6464, 16.6464, 16.6464 Å; angles 9.97, 9.97, 9.97 degrees
Fractional coordinates of all 7 atoms:
Ag 0.1422 0.1422 0.1422
Ag 0.2896 0.2896 0.2896
Ag 0.4263 0.4263 0.4263
Ag 0.5737 0.5737 0.5737
Ag 0.7104 0.7104 0.7104
Ag 0.8578 0.8578 0.8578
Cu 0.0000 0.0000 0.0000

Formation enthalpy at 0 K: 0.0384 eV/atom
Energy: -20.4 eV per cell

No. 13
Computed, not measured: a relaxed structure of CuF2 at the PBE-GGA level of DFT.

Cell lengths 4.3727, 4.3727, 4.3727 Å; angles 60.00, 60.00, 60.00 degrees
Fractional coordinates of all 6 atoms:
Cu 0.0000 0.0000 0.0000
Cu 0.2500 0.2500 0.2500
F 0.6250 0.6250 0.1250
F 0.6250 0.1250 0.6250
F 0.1250 0.6250 0.6250
F 0.6250 0.6250 0.6250

Energy: -15.0 eV per cell

No. 14
Computed, not measured: a relaxed structure of Ta4ZnSnC2 at the PBE-GGA level of DFT.

Cell lengths 3.1784, 3.1784, 13.8532 Å; angles 90.00, 90.00, 120.00 degrees
Fractional coordinates of all 8 atoms:
C 0.3333 0.6667 0.2564
C 0.3333 0.6667 0.7436
Sn 0.0000 0.0000 0.0000
Ta 0.6667 0.3333 0.1689
Ta 0.0000 0.0000 0.3412
Ta 0.0000 0.0000 0.6588
Ta 0.6667 0.3333 0.8311
Zn 0.6667 0.3333 0.5000

Energy: -73.9 eV per cell
Total magnetic moment: 0.000 μB per formula unit

No. 15
Computed, not measured: a relaxed structure of Ge2PtSe at the PBE-GGA level of DFT.

Cell lengths 5.8753, 3.6278, 7.3916 Å; angles 90.00, 97.10, 90.00 degrees
Fractional coordinates of all 8 atoms:
Ge 0.6189 0.7500 0.1485
Ge 0.1317 0.2500 0.2842
Ge 0.8683 0.7500 0.7158
Ge 0.3811 0.2500 0.8515
Pt 0.1901 0.7500 0.0501
Pt 0.8099 0.2500 0.9499
Se 0.7276 0.2500 0.4088
Se 0.2724 0.7500 0.5912

Energy: -39.3 eV per cell
Total magnetic moment: 0.001 μB per formula unit

No. 16
Computed, not measured: a relaxed structure of NaScTe3Pd at the PBE-GGA level of DFT.

Cell lengths 8.3200, 4.0914, 10.3113 Å; angles 90.00, 110.02, 90.00 degrees
Fractional coordinates of all 12 atoms:
Na 0.2350 0.7500 0.2842
Na 0.7650 0.2500 0.7158
Pd 0.9102 0.2500 0.3934
Pd 0.0898 0.7500 0.6066
Sc 0.6841 0.7500 0.1542
Sc 0.3159 0.2500 0.8458
Te 0.9248 0.2500 0.1370
Te 0.4252 0.2500 0.1457
Te 0.7468 0.7500 0.4573
Te 0.2532 0.2500 0.5427
Te 0.5748 0.7500 0.8543
Te 0.0752 0.7500 0.8630

Energy: -54.1 eV per cell
Total magnetic moment: 0.001 μB per formula unit

No. 17
Computed, not measured: a relaxed structure of HfNiSbIr at the PBE-GGA level of DFT.

Cell lengths 4.5778, 4.5778, 4.5778 Å; angles 60.00, 60.00, 60.00 degrees
Fractional coordinates of all 4 atoms:
Hf 0.2500 0.2500 0.2500
Ir 0.5000 0.5000 0.5000
Ni 0.7500 0.7500 0.7500
Sb 0.0000 0.0000 0.0000

Energy: -29.1 eV per cell
Total magnetic moment: 0.018 μB per formula unit

No. 18
Computed, not measured: a relaxed structure of NbCd2Ge at the PBE-GGA level of DFT.

Cell lengths 4.7842, 4.7842, 4.7842 Å; angles 60.00, 60.00, 60.00 degrees
Each line ends with the local moment (μB).
Fractional coordinates of all 4 atoms:
Cd 0.0000 0.0000 0.0000  0.00
Cd 0.7500 0.7500 0.7500  0.00
Ge 0.5000 0.5000 0.5000  0.01
Nb 0.2500 0.2500 0.2500  0.98

Energy: -14.9 eV per cell
Total magnetic moment: 1.218 μB per formula unit

No. 19
Computed, not measured: a relaxed structure of ScIr2Au at the PBE-GGA level of DFT.

Cell lengths 4.5497, 4.5497, 4.5497 Å; angles 60.00, 60.00, 60.00 degrees
Each line ends with the local moment (μB).
Fractional coordinates of all 4 atoms:
Au 0.7500 0.7500 0.7500  0.02
Ir 0.2500 0.2500 0.2500  0.57
Ir 0.5000 0.5000 0.5000  0.42
Sc 0.0000 0.0000 0.0000  -0.01

Formation enthalpy at 0 K: -0.1679 eV/atom
Energy: -28.0 eV per cell
Total magnetic moment: 1.016 μB per formula unit

No. 20
Computed, not measured: a relaxed structure of ScZnCoGe at the PBE-GGA level of DFT.

Cell lengths 4.3413, 4.3413, 4.3413 Å; angles 60.00, 60.00, 60.00 degrees
Fractional coordinates of all 4 atoms:
Co 0.5000 0.5000 0.5000
Ge 0.2500 0.2500 0.2500
Sc 0.7500 0.7500 0.7500
Zn 0.0000 0.0000 0.0000

Energy: -20.3 eV per cell
Total magnetic moment: 0.002 μB per formula unit